BaZr2Al (GGA-PBE, relaxed); crystal system = orthorhombic; energy of formation from the pure elements = 176 meV/atom; total magnetic moment = 0.000 μB per atom
1.0
3.2671 0.0000 0.0000
0.0000 3.9873 0.0000
0.0000 0.0000 8.3192
Ba Zr Al
1 2 1
Direct
0.0000 0.0000 0.0000 Ba
0.5000 0.5000 0.3268 Zr
0.5000 0.5000 0.6732 Zr
0.0000 0.0000 0.5000 Al